This record from Alexandria describes a relaxed structure of HgPb3S. The functional is PBE-GGA. Values from VASP.

The structure in Quantum ESPRESSO input format:
```
&SYSTEM
  ibrav = 0, nat = 5, ntyp = 3
/
ATOMIC_SPECIES
Pb 207.20 Pb.upf
S 32.06 S.upf
Hg 200.59 Hg.upf
CELL_PARAMETERS angstrom
-5.113 -0.688 -2.062
2.113 -0.338 -5.128
0.509 -5.503 0.572
ATOMIC_POSITIONS crystal
Pb 0.000 0.500 0.000
Pb 0.000 0.000 0.500
S 0.000 0.000 0.000
Pb 0.500 0.000 0.000
Hg 0.500 0.500 0.500
```

Results
* polymorph energy (0 for the lowest one): 0 kJ/mol of formula units
* symmetry: Pm-3m, No. 221
* E_form (uncorrected): 0.8 eV/f.u.
* M_tot: 0.0 μB/cell